# 1
An optimized crystal structure of Na2Bi2P. Source: Alexandria, functional PBE.

Mass density ... 5.63 g cm⁻³
Magnetization ... 0.0 μB/f.u.
Formation enthalpy at 0 K ... -23 meV/atom

Unit cell a=7.5918 b=7.5918 c=5.0680 alpha=90.00 beta=90.00 gamma=90.00
Closest atoms and distances in Å follow each position.
Sites, in units of the cell vectors:
P 0.0000 0.0000 0.0000  4 Bi 2.91
P 0.5000 0.5000 0.0000  4 Bi 2.91
Bi 0.3551 0.8551 0.0000  2 P 2.91, 1 Bi 3.11, 2 Na 3.24
Bi 0.8551 0.6449 0.0000  2 P 2.91, 1 Bi 3.11, 2 Na 3.24
Bi 0.6449 0.1449 0.0000  2 P 2.91, 1 Bi 3.11, 2 Na 3.24
Bi 0.1449 0.3551 0.0000  2 P 2.91, 1 Bi 3.11, 2 Na 3.24
Na 0.1674 0.6674 0.5000  6 Bi 3.24-3.47, 1 Na 3.60
Na 0.6674 0.8326 0.5000  6 Bi 3.24-3.47, 1 Na 3.60
Na 0.8326 0.3326 0.5000  6 Bi 3.24-3.47, 1 Na 3.60
Na 0.3326 0.1674 0.5000  6 Bi 3.24-3.47, 1 Na 3.60



# 2
An optimized crystal structure of NaBi2P2. Source: Alexandria, functional PBE.

Mass density ... 6.64 g cm⁻³
Magnetization ... 0.0 μB/f.u.
Energy above the lowest structure with this stoichiometry ... 3.8 kJ/mol of formula units
Formation enthalpy at 0 K ... 94 meV/atom

Unit cell a=8.0100 b=8.0100 c=3.9199 alpha=90.00 beta=90.00 gamma=90.00
Closest atoms and distances in Å follow each position.
Sites, in units of the cell vectors:
P 0.3275 0.8275 0.0000  2 Bi 2.75, 2 Na 2.96
P 0.8275 0.6725 0.0000  2 Bi 2.75, 2 Na 2.96
P 0.6725 0.1725 0.0000  2 Bi 2.75, 2 Na 2.96
P 0.1725 0.3275 0.0000  2 Bi 2.75, 2 Na 2.96
Bi 0.1576 0.6576 0.5000  2 P 2.75
Bi 0.6576 0.8424 0.5000  2 P 2.75
Bi 0.8424 0.3424 0.5000  2 P 2.75
Bi 0.3424 0.1576 0.5000  2 P 2.75
Na 0.0000 0.0000 0.0000  4 P 2.96
Na 0.5000 0.5000 0.0000  4 P 2.96



# 3
An optimized crystal structure of NaBi2P2. Source: Alexandria, functional PBE.

Mass density ... 5.69 g cm⁻³
Magnetization ... 0.0 μB/f.u.
Energy above the lowest structure with this stoichiometry ... 0.0 kJ/mol of formula units
Formation enthalpy at 0 K ... 86 meV/atom

Unit cell a=5.3485 b=5.3485 c=6.3756 alpha=65.20 beta=65.20 gamma=90.00
Closest atoms and distances in Å follow each position.
Sites, in units of the cell vectors:
P 0.7500 0.2500 0.5000  4 Bi 2.83
P 0.2500 0.7500 0.5000  4 Bi 2.83
Bi 0.3402 0.3402 0.3195  4 P 2.83
Bi 0.6598 0.6598 0.6805  4 P 2.83
Na 0.0000 0.0000 0.0000  2 Bi 3.49, 8 P 3.71



# 4
An optimized crystal structure of Na4BiP. Source: Alexandria, functional PBE.

Mass density ... 3.66 g cm⁻³
Magnetization ... 0.0 μB/f.u.
Formation enthalpy at 0 K ... -229 meV/atom

Unit cell a=5.8727 b=5.9054 c=10.4031 alpha=114.95 beta=109.38 gamma=71.03
Closest atoms and distances in Å follow each position.
Sites, in units of the cell vectors:
Na 0.6913 0.1251 0.8173  1 P 2.95
Na 0.8088 0.3751 0.1827  1 P 2.95
Na 0.3087 0.8749 0.1827  1 P 2.95
Na 0.1912 0.6249 0.8173  1 P 2.95
Na 0.1350 0.0038 0.6412  1 Na 2.83, 2 P 2.95-2.96
Na 0.3650 0.4961 0.3588  1 Na 2.83, 2 P 2.95-2.96
Na 0.8650 0.9962 0.3588  1 Na 2.83, 2 P 2.95-2.96
Na 0.6350 0.5039 0.6412  1 Na 2.83, 2 P 2.95-2.96
Bi 0.7499 0.7501 0.0000  10 Na 3.30-3.44, 2 Bi 3.42
Bi 0.2501 0.2499 0.0000  10 Na 3.30-3.44, 2 Bi 3.42
P 0.5000 0.0000 0.5000  6 Na 2.95-2.96
P 0.0000 0.5000 0.5000  6 Na 2.95-2.96



# 5
An optimized crystal structure of Na8Bi2P. Source: Alexandria, functional PBE.

Mass density ... 3.38 g cm⁻³
Magnetization ... 0.0 μB/f.u.
Energy above the lowest structure with this stoichiometry ... 0.0 kJ/mol of formula units
Formation enthalpy at 0 K ... -313 meV/atom

Unit cell a=5.3280 b=7.1062 c=9.3162 alpha=112.23 beta=106.62 gamma=90.00
Closest atoms and distances in Å follow each position.
Sites, in units of the cell vectors:
Na 0.3693 0.6135 0.7386  1 P 2.82
Na 0.6338 0.8837 0.2675  1 P 2.82
Na 0.8046 0.8005 0.6093  8 Na 3.33-3.63, 4 Bi 3.35-3.59
Na 0.9991 0.2357 0.9982  2 P 3.15, 5 Na 3.36-3.44, 2 Bi 3.49-3.52
Na 0.1954 0.1995 0.3907  8 Na 3.33-3.63, 4 Bi 3.35-3.59
Na 0.3662 0.1163 0.7325  1 P 2.82
Na 0.6307 0.3865 0.2614  1 P 2.82
Na 0.0009 0.7643 0.0018  2 P 3.15, 5 Na 3.36-3.44, 2 Bi 3.49-3.52
Bi 0.8194 0.3193 0.6388  12 Na 3.28-3.59
Bi 0.1806 0.6807 0.3612  12 Na 3.28-3.59
P 0.5000 0.0000 0.0000  8 Na 2.82-3.15



# 6
An optimized crystal structure of Na8Bi2P. Source: Alexandria, functional PBE.

Mass density ... 3.32 g cm⁻³
Magnetization ... 0.0 μB/f.u.
Energy above the lowest structure with this stoichiometry ... 9.8 kJ/mol of formula units
Formation enthalpy at 0 K ... -304 meV/atom

Unit cell a=4.8297 b=7.9715 c=9.4609 alpha=114.94 beta=104.78 gamma=89.99
Closest atoms and distances in Å follow each position.
Sites, in units of the cell vectors:
Na 0.6369 0.1993 0.9094  2 P 3.14, 6 Na 3.21-3.43, 2 Bi 3.25
Na 0.9895 0.0182 0.6166  1 P 2.97
Na 0.2830 0.3108 0.2022  1 P 2.97
Na 0.7281 0.9345 0.0922  2 P 2.96-2.97, 4 Na 3.03-3.30, 1 Bi 3.29
Na 0.3394 0.8892 0.3171  3 Bi 3.15, 5 Na 3.29-3.49
Na 0.9326 0.4804 0.5013  3 Bi 3.15, 5 Na 3.29-3.49
Na 0.1374 0.5648 0.9089  1 P 3.04
Na 0.5440 0.7519 0.7239  2 P 2.97, 4 Na 3.03-3.29, 1 Bi 3.29
Bi 0.7909 0.6070 0.2195  7 Na 3.15-3.33
Bi 0.4817 0.2972 0.5999  7 Na 3.15-3.33
P 0.1365 0.9467 0.9090  9 Na 2.96-3.14



# 7
An optimized crystal structure of NaBi3P. Source: Alexandria, functional PBE.

Mass density ... 6.71 g cm⁻³
Magnetization ... 0.0 μB/f.u.
Energy above the lowest structure with this stoichiometry ... 0.0 kJ/mol of formula units
Formation enthalpy at 0 K ... 283 meV/atom

Unit cell a=5.5223 b=5.5223 c=5.5223 alpha=90.00 beta=90.00 gamma=90.00
Closest atoms and distances in Å follow each position.
Sites, in units of the cell vectors:
P 0.0000 0.0000 0.0000  6 Bi 2.76
Bi 0.0000 0.5000 0.0000  2 P 2.76
Bi 0.0000 0.0000 0.5000  2 P 2.76
Bi 0.5000 0.0000 0.0000  2 P 2.76
Na 0.5000 0.5000 0.5000  12 Bi 3.90



# 8
An optimized crystal structure of Na2BiP2. Source: Alexandria, functional PBE.

Mass density ... 4.57 g cm⁻³
Magnetization ... 0.0 μB/f.u.
Energy above the lowest structure with this stoichiometry ... 8.0 kJ/mol of formula units
Formation enthalpy at 0 K ... 16 meV/atom

Unit cell a=4.5001 b=4.5001 c=6.5169 alpha=69.80 beta=69.80 gamma=90.00
Closest atoms and distances in Å follow each position.
Sites, in units of the cell vectors:
P 0.4061 0.4061 0.1877  1 P 2.14
P 0.5939 0.5939 0.8123  1 P 2.14
Bi 0.0000 0.0000 0.0000  8 P 3.36, 8 Na 3.63
Na 0.7500 0.2500 0.5000  4 P 2.87, 4 Na 3.18
Na 0.2500 0.7500 0.5000  4 P 2.87, 4 Na 3.18



# 9
An optimized crystal structure of NaBiP2. Source: Alexandria, functional PBE.

Mass density ... 4.01 g cm⁻³
Magnetization ... 0.0 μB/f.u.
Formation enthalpy at 0 K ... 213 meV/atom

Unit cell a=6.8759 b=6.8759 c=7.0784 alpha=60.94 beta=60.94 gamma=90.00
Closest atoms and distances in Å follow each position.
Sites, in units of the cell vectors:
P 0.6578 0.1250 0.2500  2 Bi 2.62, 2 Na 2.90
P 0.0922 0.6250 0.2500  2 Bi 2.62, 2 Na 2.90
P 0.3750 0.3422 0.7500  2 Bi 2.62, 2 Na 2.90
P 0.8750 0.9078 0.7500  2 Bi 2.62, 2 Na 2.90
Bi 0.0000 0.0000 0.0000  4 P 2.62
Bi 0.7500 0.2500 0.5000  4 P 2.62
Na 0.5000 0.5000 0.0000  4 P 2.90
Na 0.2500 0.7500 0.5000  4 P 2.90



# 10
An optimized crystal structure of NaBiP3. Source: Alexandria, functional PBE.

Mass density ... 4.65 g cm⁻³
Magnetization ... 0.0 μB/f.u.
Energy above the lowest structure with this stoichiometry ... 132.1 kJ/mol of formula units
Formation enthalpy at 0 K ... 1250 meV/atom

Unit cell a=4.8768 b=4.8768 c=4.8768 alpha=90.00 beta=90.00 gamma=90.00
Closest atoms and distances in Å follow each position.
Sites, in units of the cell vectors:
P 0.0000 0.5000 0.0000  2 Na 2.44
P 0.0000 0.0000 0.5000  2 Na 2.44
P 0.5000 0.0000 0.0000  2 Na 2.44
Bi 0.5000 0.5000 0.5000  12 P 3.45
Na 0.0000 0.0000 0.0000  6 P 2.44



# 11
An optimized crystal structure of NaBi2P2. Source: Alexandria, functional PBE.

Mass density ... 6.00 g cm⁻³
Magnetization ... 0.0 μB/f.u.
Energy above the lowest structure with this stoichiometry ... 8.2 kJ/mol of formula units
Formation enthalpy at 0 K ... 103 meV/atom

Unit cell a=4.5211 b=4.5211 c=7.5185 alpha=72.50 beta=72.50 gamma=90.00
Closest atoms and distances in Å follow each position.
Sites, in units of the cell vectors:
P 0.4233 0.4233 0.1534  1 P 2.09
P 0.5767 0.5767 0.8466  1 P 2.09
Bi 0.7500 0.2500 0.5000  4 Bi 3.20, 4 P 3.27
Bi 0.2500 0.7500 0.5000  4 Bi 3.20, 4 P 3.27
Na 0.0000 0.0000 0.0000  8 P 3.36



# 12
An optimized crystal structure of NaBiP3. Source: Alexandria, functional PBE.

Mass density ... 3.55 g cm⁻³
Magnetization ... 0.0 μB/f.u.
Energy above the lowest structure with this stoichiometry ... 0.0 kJ/mol of formula units
Formation enthalpy at 0 K ... 976 meV/atom

Unit cell a=5.3349 b=5.3349 c=5.3349 alpha=90.00 beta=90.00 gamma=90.00
Closest atoms and distances in Å follow each position.
Sites, in units of the cell vectors:
P 0.0000 0.5000 0.0000  2 Bi 2.67
P 0.0000 0.0000 0.5000  2 Bi 2.67
P 0.5000 0.0000 0.0000  2 Bi 2.67
Bi 0.0000 0.0000 0.0000  6 P 2.67
Na 0.5000 0.5000 0.5000  12 P 3.77



The highest formation enthalpy at 0 K belongs to which entry? number 10